No. 1
The following is a DFT calculation (PBE) of a relaxed structure of Sm12H5Os3.

## Properties
The calculation puts the total energy at -892.758 eV for the cell shown. As for the spin magnetization: 0.0 μB/cell.

abc: 15.424 15.424 15.424
angles: 90.00 90.00 90.00
Space group Ia-3d (No. 230)
Inequivalent atoms, fractional coordinates:
Sm 0.032 0.063 0.656 [96 per cell]
H 0.000 0.000 0.000 [16 per cell]
H 0.000 0.250 0.375 [24 per cell]
Os 0.000 0.250 0.125 [24 per cell]

---

No. 2
The following is a DFT calculation (PBE) of a relaxed structure of Ac2PrGa.

## Properties
The formation energy comes out at -197 meV per atom. As for the spin magnetization: 0.0 μB/cell.

abc: 3.942 3.942 9.172
angles: 90.00 90.00 90.00
Space group P4/mmm (No. 123)
Inequivalent atoms, fractional coordinates:
Ac 0.000 0.000 0.205 [2 per cell]
Pr 0.500 0.500 0.500 [1 per cell]
Ga 0.500 0.500 0.000 [1 per cell]

---

No. 3
The following is a DFT calculation (PBE) of a relaxed structure of TaAlPt4.

## Properties
The formation energy comes out at -219 meV per atom. As for the spin magnetization: 0.0 μB/cell.

abc: 7.388 7.388 7.388
angles: 90.00 90.00 90.00
Space group F-43m (No. 216)
Inequivalent atoms, fractional coordinates:
Ta 0.000 0.000 0.000 [4 per cell]
Al 0.250 0.250 0.750 [4 per cell]
Pt 0.125 0.125 0.375 [16 per cell]

---

No. 4
The following is a DFT calculation (PBE) of a relaxed structure of Sr4In3Sn5.

## Properties
The formation energy comes out at -313 meV per atom. As for the spin magnetization: 0.0 μB/cell.

abc: 14.927 5.487 11.698
angles: 90.00 117.67 90.00
Space group C2/m (No. 12)
Inequivalent atoms, fractional coordinates:
Sr 0.033 0.000 0.319 [4 per cell]
Sr 0.240 0.500 0.249 [4 per cell]
In 0.000 0.000 0.000 [2 per cell]
In 0.197 0.500 0.934 [4 per cell]
Sn 0.000 0.500 0.000 [2 per cell]
Sn 0.088 0.500 0.643 [4 per cell]
Sn 0.206 0.500 0.507 [4 per cell]

---

No. 5
The following is a DFT calculation (PBE) of a relaxed structure of NpAlGa2Au4.

## Properties
The formation energy comes out at -230 meV per atom. As for the spin magnetization: 12.2 μB/cell.

abc: 4.4915 4.4915 26.5208
angles: 90.00 90.00 120.00
Space group R-3m (No. 166, hexagonal axes)
Inequivalent atoms, fractional coordinates:
Np 0.0000 0.0000 0.0000 [3 per cell]
Al 0.0000 0.0000 0.5000 [3 per cell]
Ga 0.0000 0.0000 0.2578 [6 per cell]
Au 0.0000 0.0000 0.1368 [6 per cell]
Au 0.0000 0.0000 0.3987 [6 per cell]

---

No. 6
The following is a DFT calculation (PBE) of a relaxed structure of LaScOF2.

## Properties
As for the spin magnetization: 1.7 μB/cell. Its energy relative to the elements, uncorrected is -231 kJ/mol of atoms.

abc: 4.744 4.744 4.592
angles: 90.00 90.00 90.00
Space group P4/mmm (No. 123)
Inequivalent atoms, fractional coordinates:
La 0.000 0.000 0.000 [1 per cell]
Sc 0.500 0.500 0.500 [1 per cell]
O 0.000 0.000 0.500 [1 per cell]
F 0.000 0.500 0.000 [2 per cell]

---

No. 7
The following is a DFT calculation (PBE) of a relaxed structure of NaHg2Au2.

## Properties
The formation energy comes out at -101 meV per atom. As for the spin magnetization: 0.0 μB/cell.

abc: 4.070 4.070 14.048
angles: 90.00 90.00 90.00
Space group I4/mmm (No. 139)
Inequivalent atoms, fractional coordinates:
Na 0.000 0.000 0.000 [2 per cell]
Hg 0.000 0.000 0.398 [4 per cell]
Au 0.000 0.500 0.250 [4 per cell]

---

No. 8
The following is a DFT calculation (PBE) of a relaxed structure of AlPt2Rh.

## Properties
The formation energy comes out at -483 meV per atom. As for the spin magnetization: 0.0 μB/cell.

abc: 2.8175 2.8175 25.9187
angles: 90.00 90.00 120.00
Space group R3m (No. 160, hexagonal axes)
Inequivalent atoms, fractional coordinates:
Al 0.0000 0.0000 0.0000 [3 per cell]
Pt 0.0000 0.0000 0.2557 [3 per cell]
Pt 0.0000 0.0000 0.4962 [3 per cell]
Rh 0.0000 0.0000 0.7406 [3 per cell]

---

No. 9
The following is a DFT calculation (PBE) of a relaxed structure of Zr2H2Rh.

## Properties
The calculation puts the total energy at -136.622 eV for the cell shown. As for the spin magnetization: 0.0 μB/cell.

abc: 8.640 6.761 5.601
angles: 90.00 129.09 90.00
Space group C2/c (No. 15)
Inequivalent atoms, fractional coordinates:
Zr 0.171 0.166 0.176 [8 per cell]
H 0.123 0.119 0.509 [8 per cell]
Rh 0.000 0.487 0.750 [4 per cell]

---

No. 10
The following is a DFT calculation (PBE) of a relaxed structure of SnBr3N.

## Properties
As for the spin magnetization: 16.0 μB/cell. Its energy relative to the elements, uncorrected is 30 kJ/mol of atoms.

abc: 11.261 19.191 7.650
angles: 90.00 108.23 90.00
Space group C2/c (No. 15)
Inequivalent atoms, fractional coordinates:
Sn 0.142 0.169 0.392 [8 per cell]
Br 0.065 0.104 0.046 [8 per cell]
Br 0.186 0.250 0.702 [8 per cell]
Br 0.206 0.424 0.456 [8 per cell]
N 0.000 0.238 0.250 [4 per cell]
N 0.000 0.451 0.750 [4 per cell]

---

No. 11
The following is a DFT calculation (PBE) of a relaxed structure of TbMg2Ga3.

## Properties
The formation energy comes out at -326 meV per atom. As for the spin magnetization: 0.0 μB/cell.

abc: 4.7793 4.7793 6.1985
angles: 90.00 90.00 120.00
Space group P-3m1 (No. 164)
Inequivalent atoms, fractional coordinates:
Tb 0.0000 0.0000 0.0000 [1 per cell]
Mg 0.3333 0.6667 0.6830 [2 per cell]
Ga 0.0000 0.0000 0.5000 [1 per cell]
Ga 0.3333 0.6667 0.1985 [2 per cell]

---

No. 12
The following is a DFT calculation (PBE) of a relaxed structure of TbAl3.

## Properties
The formation energy comes out at -429 meV per atom. As for the spin magnetization: 0.0 μB/cell.

abc: 6.1351 6.1351 35.9434
angles: 90.00 90.00 120.00
Space group R-3m (No. 166, hexagonal axes)
Inequivalent atoms, fractional coordinates:
Tb 0.0000 0.0000 0.0000 [3 per cell]
Tb 0.0000 0.0000 0.1305 [6 per cell]
Tb 0.0000 0.0000 0.4002 [6 per cell]
Al 0.0000 0.5000 0.0000 [9 per cell]
Al 0.0045 0.5023 0.8660 [18 per cell]
Al 0.0369 0.5185 0.3995 [18 per cell]

---

Repeat the fifth record exactly.
The following is a DFT calculation (PBE) of a relaxed structure of NpAlGa2Au4.

## Properties
The formation energy comes out at -230 meV per atom. As for the spin magnetization: 12.2 μB/cell.

abc: 4.4915 4.4915 26.5208
angles: 90.00 90.00 120.00
Space group R-3m (No. 166, hexagonal axes)
Inequivalent atoms, fractional coordinates:
Np 0.0000 0.0000 0.0000 [3 per cell]
Al 0.0000 0.0000 0.5000 [3 per cell]
Ga 0.0000 0.0000 0.2578 [6 per cell]
Au 0.0000 0.0000 0.1368 [6 per cell]
Au 0.0000 0.0000 0.3987 [6 per cell]

---

What is the spin magnetization in the eighth record? 0.0 μB/cell

---

Number 3 is which compound? TaAlPt4

---

Copy entry 4 word for word.
The following is a DFT calculation (PBE) of a relaxed structure of Sr4In3Sn5.

## Properties
The formation energy comes out at -313 meV per atom. As for the spin magnetization: 0.0 μB/cell.

abc: 14.927 5.487 11.698
angles: 90.00 117.67 90.00
Space group C2/m (No. 12)
Inequivalent atoms, fractional coordinates:
Sr 0.033 0.000 0.319 [4 per cell]
Sr 0.240 0.500 0.249 [4 per cell]
In 0.000 0.000 0.000 [2 per cell]
In 0.197 0.500 0.934 [4 per cell]
Sn 0.000 0.500 0.000 [2 per cell]
Sn 0.088 0.500 0.643 [4 per cell]
Sn 0.206 0.500 0.507 [4 per cell]